A plane-wave DFT calculation with PBE was carried out for an optimized crystal structure of BRu3S.

CIF file:
```
data_BRu3S
_symmetry_space_group_name_H-M 'P m -3 m'
_symmetry_Int_Tables_number 221
_symmetry_space_group_name_Hall '-P 4 2 3'
_cell_length_a 4.084
_cell_length_b 4.084
_cell_length_c 4.084
_cell_angle_alpha 90.00
_cell_angle_beta 90.00
_cell_angle_gamma 90.00
loop_
_atom_site_label
_atom_site_type_symbol
_atom_site_fract_x
_atom_site_fract_y
_atom_site_fract_z
B1 B 0.000 0.000 0.000
Ru1 Ru 0.000 0.000 0.500
S1 S 0.500 0.500 0.500
```

E_tot = -35.81 eV/cell
Offset from the most stable computed form = 0.0 meV per atom

A plane-wave DFT calculation with PBE was carried out for an optimized crystal structure of ScB2RuS.

CIF file:
```
data_ScB2RuS
_symmetry_space_group_name_H-M 'P 4/m m m'
_symmetry_Int_Tables_number 123
_symmetry_space_group_name_Hall '-P 4 2'
_cell_length_a 3.918
_cell_length_b 3.918
_cell_length_c 4.443
_cell_angle_alpha 90.00
_cell_angle_beta 90.00
_cell_angle_gamma 90.00
loop_
_atom_site_label
_atom_site_type_symbol
_atom_site_fract_x
_atom_site_fract_y
_atom_site_fract_z
Sc1 Sc 0.000 0.000 0.000
B1 B 0.000 0.500 0.500
Ru1 Ru 0.500 0.500 0.000
S1 S 0.500 0.500 0.500
```

E_tot = -28.49 eV/cell

A plane-wave DFT calculation with PBE was carried out for an optimized crystal structure of SiB2RuS.

CIF file:
```
data_SiB2RuS
_symmetry_space_group_name_H-M 'P 4/m m m'
_symmetry_Int_Tables_number 123
_symmetry_space_group_name_Hall '-P 4 2'
_cell_length_a 3.826
_cell_length_b 3.826
_cell_length_c 4.647
_cell_angle_alpha 90.00
_cell_angle_beta 90.00
_cell_angle_gamma 90.00
loop_
_atom_site_label
_atom_site_type_symbol
_atom_site_fract_x
_atom_site_fract_y
_atom_site_fract_z
Si1 Si 0.000 0.000 0.000
B1 B 0.000 0.500 0.000
Ru1 Ru 0.500 0.500 0.500
S1 S 0.000 0.000 0.500
```

E_tot = -25.19 eV/cell

A plane-wave DFT calculation with PBE was carried out for an optimized crystal structure of YBRuS2.

CIF file:
```
data_YBRuS2
_symmetry_space_group_name_H-M 'P 4/m m m'
_symmetry_Int_Tables_number 123
_symmetry_space_group_name_Hall '-P 4 2'
_cell_length_a 5.186
_cell_length_b 5.186
_cell_length_c 5.193
_cell_angle_alpha 90.00
_cell_angle_beta 90.00
_cell_angle_gamma 90.00
loop_
_atom_site_label
_atom_site_type_symbol
_atom_site_fract_x
_atom_site_fract_y
_atom_site_fract_z
Y1 Y 0.000 0.000 0.000
B1 B 0.500 0.500 0.500
Ru1 Ru 0.000 0.000 0.500
S1 S 0.000 0.500 0.000
```

E_tot = -23.35 eV/cell
Offset from the most stable computed form = 1635.2 meV per atom

A plane-wave DFT calculation with PBE was carried out for an optimized crystal structure of YBRuS2.

CIF file:
```
data_YBRuS2
_symmetry_space_group_name_H-M 'P 4/m m m'
_symmetry_Int_Tables_number 123
_symmetry_space_group_name_Hall '-P 4 2'
_cell_length_a 4.474
_cell_length_b 4.474
_cell_length_c 3.957
_cell_angle_alpha 90.00
_cell_angle_beta 90.00
_cell_angle_gamma 90.00
loop_
_atom_site_label
_atom_site_type_symbol
_atom_site_fract_x
_atom_site_fract_y
_atom_site_fract_z
Y1 Y 0.000 0.000 0.000
B1 B 0.500 0.500 0.500
Ru1 Ru 0.500 0.500 0.000
S1 S 0.000 0.500 0.500
```

E_tot = -31.53 eV/cell
Offset from the most stable computed form = 0.0 meV per atom

A plane-wave DFT calculation with PBE was carried out for an optimized crystal structure of B3SbRu.

CIF file:
```
data_B3SbRu
_symmetry_space_group_name_H-M 'P m -3 m'
_symmetry_Int_Tables_number 221
_symmetry_space_group_name_Hall '-P 4 2 3'
_cell_length_a 4.157
_cell_length_b 4.157
_cell_length_c 4.157
_cell_angle_alpha 90.00
_cell_angle_beta 90.00
_cell_angle_gamma 90.00
loop_
_atom_site_label
_atom_site_type_symbol
_atom_site_fract_x
_atom_site_fract_y
_atom_site_fract_z
B1 B 0.000 0.000 0.500
Sb1 Sb 0.500 0.500 0.500
Ru1 Ru 0.000 0.000 0.000
```

E_tot = -27.29 eV/cell
Offset from the most stable computed form = 0.0 meV per atom

A plane-wave DFT calculation with PBE was carried out for an optimized crystal structure of BSb3Ru.

CIF file:
```
data_BSb3Ru
_symmetry_space_group_name_H-M 'P m -3 m'
_symmetry_Int_Tables_number 221
_symmetry_space_group_name_Hall '-P 4 2 3'
_cell_length_a 4.660
_cell_length_b 4.660
_cell_length_c 4.660
_cell_angle_alpha 90.00
_cell_angle_beta 90.00
_cell_angle_gamma 90.00
loop_
_atom_site_label
_atom_site_type_symbol
_atom_site_fract_x
_atom_site_fract_y
_atom_site_fract_z
B1 B 0.000 0.000 0.000
Sb1 Sb 0.000 0.000 0.500
Ru1 Ru 0.500 0.500 0.500
```

E_tot = -23.12 eV/cell
Offset from the most stable computed form = 0.0 meV per atom

A plane-wave DFT calculation with PBE was carried out for an optimized crystal structure of B3SbRu.

CIF file:
```
data_B3SbRu
_symmetry_space_group_name_H-M 'P m -3 m'
_symmetry_Int_Tables_number 221
_symmetry_space_group_name_Hall '-P 4 2 3'
_cell_length_a 4.385
_cell_length_b 4.385
_cell_length_c 4.385
_cell_angle_alpha 90.00
_cell_angle_beta 90.00
_cell_angle_gamma 90.00
loop_
_atom_site_label
_atom_site_type_symbol
_atom_site_fract_x
_atom_site_fract_y
_atom_site_fract_z
B1 B 0.000 0.000 0.500
Sb1 Sb 0.000 0.000 0.000
Ru1 Ru 0.500 0.500 0.500
```

E_tot = -20.32 eV/cell
Offset from the most stable computed form = 1393.9 meV per atom

A plane-wave DFT calculation with PBE was carried out for an optimized crystal structure of B2SbRu.

CIF file:
```
data_B2SbRu
_symmetry_space_group_name_H-M 'I -4 2 d'
_symmetry_Int_Tables_number 122
_symmetry_space_group_name_Hall 'I -4 2bw'
_cell_length_a 5.076
_cell_length_b 5.076
_cell_length_c 9.851
_cell_angle_alpha 90.00
_cell_angle_beta 90.00
_cell_angle_gamma 90.00
loop_
_atom_site_label
_atom_site_type_symbol
_atom_site_fract_x
_atom_site_fract_y
_atom_site_fract_z
B1 B 0.199 0.250 0.125
Sb1 Sb 0.000 0.000 0.500
Ru1 Ru 0.000 0.000 0.000
```

E_tot = -97.42 eV/cell

A plane-wave DFT calculation with PBE was carried out for an optimized crystal structure of BSb3Ru.

CIF file:
```
data_BSb3Ru
_symmetry_space_group_name_H-M 'P m -3 m'
_symmetry_Int_Tables_number 221
_symmetry_space_group_name_Hall '-P 4 2 3'
_cell_length_a 5.104
_cell_length_b 5.104
_cell_length_c 5.104
_cell_angle_alpha 90.00
_cell_angle_beta 90.00
_cell_angle_gamma 90.00
loop_
_atom_site_label
_atom_site_type_symbol
_atom_site_fract_x
_atom_site_fract_y
_atom_site_fract_z
B1 B 0.000 0.000 0.000
Sb1 Sb 0.000 0.500 0.500
Ru1 Ru 0.500 0.500 0.500
```

E_tot = -21.99 eV/cell
Offset from the most stable computed form = 224.7 meV per atom

A plane-wave DFT calculation with PBE was carried out for an optimized crystal structure of BSbRu3.

CIF file:
```
data_BSbRu3
_symmetry_space_group_name_H-M 'P m -3 m'
_symmetry_Int_Tables_number 221
_symmetry_space_group_name_Hall '-P 4 2 3'
_cell_length_a 4.850
_cell_length_b 4.850
_cell_length_c 4.850
_cell_angle_alpha 90.00
_cell_angle_beta 90.00
_cell_angle_gamma 90.00
loop_
_atom_site_label
_atom_site_type_symbol
_atom_site_fract_x
_atom_site_fract_y
_atom_site_fract_z
B1 B 0.000 0.000 0.000
Sb1 Sb 0.500 0.500 0.500
Ru1 Ru 0.000 0.500 0.500
```

E_tot = -26.01 eV/cell
Offset from the most stable computed form = 2541.7 meV per atom

A plane-wave DFT calculation with PBE was carried out for an optimized crystal structure of BSbRu3.

CIF file:
```
data_BSbRu3
_symmetry_space_group_name_H-M 'P m -3 m'
_symmetry_Int_Tables_number 221
_symmetry_space_group_name_Hall '-P 4 2 3'
_cell_length_a 4.132
_cell_length_b 4.132
_cell_length_c 4.132
_cell_angle_alpha 90.00
_cell_angle_beta 90.00
_cell_angle_gamma 90.00
loop_
_atom_site_label
_atom_site_type_symbol
_atom_site_fract_x
_atom_site_fract_y
_atom_site_fract_z
B1 B 0.000 0.000 0.000
Sb1 Sb 0.500 0.500 0.500
Ru1 Ru 0.000 0.000 0.500
```

E_tot = -38.72 eV/cell
Offset from the most stable computed form = 0.0 meV per atom

Number 1: formation energy from raw total energies 0.565 eV/atom. Number 2: formation energy from raw total energies 0.920 eV/atom. Number 3: formation energy from raw total energies 1.399 eV/atom. Number 4: formation energy from raw total energies 1.463 eV/atom. Number 5: formation energy from raw total energies -0.172 eV/atom. Number 6: formation energy from raw total energies 1.229 eV/atom. Number 7: formation energy from raw total energies 1.041 eV/atom. Number 8: formation energy from raw total energies 2.623 eV/atom. Number 9: formation energy from raw total energies 0.600 eV/atom. Number 10: formation energy from raw total energies 1.266 eV/atom. Number 11: formation energy from raw total energies 2.523 eV/atom. Number 12: formation energy from raw total energies -0.019 eV/atom.